Here is an optimized crystal structure of Sr12CdPd5 from the Alexandria database. Energies are from PBE-GGA.

Properties
Formation energy from the elements = -399 meV per atom
Total energy = -54.25 eV per cell
SG = Immm, No. 71
Density of states at the Fermi level = 0.73 states/eV/atom
Volume = 645.02 Å³/cell
Crystal system = orthorhombic

Unit cell a=9.446 b=9.446 c=9.446 alpha=113.88 beta=109.61 gamma=105.04
Positions (direct):
Sr 0.030 0.218 0.812
Sr 0.176 0.290 0.465
Sr 0.176 0.710 0.886
Sr 0.331 0.017 0.686
Sr 0.331 0.645 0.314
Sr 0.406 0.218 0.188
Sr 0.594 0.782 0.812
Sr 0.669 0.355 0.686
Sr 0.669 0.983 0.314
Sr 0.824 0.290 0.114
Sr 0.824 0.710 0.535
Sr 0.970 0.782 0.188
Cd 0.500 0.500 0.000
Pd 0.000 0.000 0.000
Pd 0.122 0.622 0.500
Pd 0.354 0.000 0.354
Pd 0.646 0.000 0.646
Pd 0.878 0.378 0.500